A relaxed structure of K2Cu2Te2H, computed with PBE.

Its mass density is 4.36 g/cm³. The value obtained for the total energy is -45.8 eV per cell. The density of states at the Fermi level is 7.99 states/eV per cell.

The structure belongs to space group C2/m (No. 12); the cell edges are 12.045, 4.453 and 8.104 Å and the angles 90.00°, 125.97° and 90.00°. The distinct sites, in fractional coordinates, are K at (0.050, 0.000, 0.306), Cu at (0.163, 0.500, 0.067), Te at (0.200, 0.500, 0.765) and H at (0.000, 0.500, 0.000).

=====

A relaxed structure of Hf5ZrGe4, computed with PBE.

Its mass density is 9.87 g/cm³. As for the formation energy: -0.32 eV/atom. The value obtained for the total energy is -159.9 eV per cell. The density of states at the Fermi level is 11.17 states/eV per cell.

The structure belongs to space group C2/m (No. 12); the cell edges are 15.398, 4.233 and 6.744 Å and the angles 90.00°, 102.75° and 90.00°. The distinct sites, in fractional coordinates, are Hf at (0.000, 0.000, 0.000), Hf at (0.157, 0.500, 0.969), Hf at (0.175, 0.500, 0.479), Zr at (0.000, 0.000, 0.500), Ge at (0.018, 0.500, 0.246) and Ge at (0.184, 0.000, 0.732).

=====

A relaxed structure of Ac3Nd2Tl4Cd2, computed with PBE.

Its mass density is 8.87 g/cm³. As for the formation energy: -0.22 eV/atom. The value obtained for the total energy is -35.6 eV per cell. The density of states at the Fermi level is 11.05 states/eV per cell.

The structure belongs to space group P-3m1 (No. 164); the cell edges are 5.2096, 5.2096 and 16.0210 Å and the angles 90.00°, 90.00° and 120.00°. The distinct sites, in fractional coordinates, are Ac at (0.0000, 0.0000, 0.0000), Ac at (0.0000, 0.0000, 0.2524), Nd at (0.3333, 0.6667, 0.5726), Tl at (0.3333, 0.6667, 0.3632), Tl at (0.3333, 0.6667, 0.8710) and Cd at (0.3333, 0.6667, 0.1168).

=====

A relaxed structure of PrHfCl, computed with PBE.

Its mass density is 7.09 g/cm³. The value obtained for the total energy is -72.9 eV per cell. The density of states at the Fermi level is 9.22 states/eV per cell. For the uncorrected formation energy, the calculation gives -549.1 meV/atom.

The structure belongs to space group Cm (No. 8); the cell edges are 12.896, 3.336 and 9.272 Å and the angles 90.00°, 123.57° and 90.00°. The distinct sites, in fractional coordinates, are Pr at (0.000, 0.000, 0.000), Pr at (0.021, 0.000, 0.422), Hf at (0.249, 0.500, 0.063), Hf at (0.277, 0.000, 0.353), Cl at (0.237, 0.000, 0.817) and Cl at (0.394, 0.500, 0.619).

=====

A relaxed structure of Pm3Ge4Au2, computed with PBE.

Its mass density is 9.09 g/cm³. As for the formation energy: -0.78 eV/atom. The value obtained for the total energy is -92.5 eV per cell. The density of states at the Fermi level is 8.84 states/eV per cell.

The structure belongs to space group C2/m (No. 12); the cell edges are 11.082, 4.449 and 8.516 Å and the angles 90.00°, 103.12° and 90.00°. The distinct sites, in fractional coordinates, are Pm at (0.000, 0.000, 0.000), Pm at (0.163, 0.500, 0.672), Ge at (0.052, 0.000, 0.384), Ge at (0.216, 0.500, 0.045) and Au at (0.119, 0.500, 0.286).

=====

A relaxed structure of EuPuCdSi, computed with PBE.

Its mass density is 8.70 g/cm³. The value obtained for the total energy is -126.5 eV per cell. The density of states at the Fermi level is 65.43 states/eV per cell. For the uncorrected formation energy, the calculation gives -169.1 meV/atom.

The structure belongs to space group F-43m (No. 216); the cell edges are 7.426, 7.426 and 7.426 Å and the angles 90.00°, 90.00° and 90.00°. The distinct sites, in fractional coordinates, are Eu at (0.000, 0.000, 0.000), Pu at (0.000, 0.000, 0.500), Cd at (0.250, 0.250, 0.250) and Si at (0.250, 0.250, 0.750).

=====

A relaxed structure of TlTe3As2, computed with PBE.

The calculation puts the energy above the lowest structure with this stoichiometry at 0 meV/atom. Its mass density is 5.98 g/cm³. The value obtained for the total energy is -42.5 eV per cell. For the uncorrected formation energy, the calculation gives -29.3 meV/atom.

The structure belongs to space group P1 (No. 1); the cell edges are 7.427, 7.770 and 7.974 Å and the angles 77.94°, 87.84° and 65.63°. The distinct sites, in fractional coordinates, are Tl at (0.000, 0.000, 0.000), Tl at (0.155, 0.416, 0.912), Te at (0.183, 0.548, 0.293), Te at (0.247, 0.003, 0.614), Te at (0.572, 0.026, 0.162), Te at (0.611, 0.434, 0.769), Te at (0.798, 0.354, 0.281), Te at (0.833, 0.855, 0.721), As at (0.340, 0.829, 0.342), As at (0.518, 0.231, 0.403), As at (0.539, 0.772, 0.857) and As at (0.689, 0.621, 0.468).

=====

A relaxed structure of Rb2In3HgPb4, computed with PBE.

Its mass density is 7.25 g/cm³. As for the formation energy: -0.10 eV/atom. The value obtained for the total energy is -26.3 eV per cell. The density of states at the Fermi level is 4.01 states/eV per cell.

The structure belongs to space group P-4m2 (No. 115); the cell edges are 5.320, 5.320 and 12.496 Å and the angles 90.00°, 90.00° and 90.00°. The distinct sites, in fractional coordinates, are Rb at (0.000, 0.500, 0.245), In at (0.000, 0.000, 0.000), In at (0.000, 0.500, 0.632), Hg at (0.500, 0.500, 0.000), Pb at (0.000, 0.000, 0.500), Pb at (0.000, 0.500, 0.872) and Pb at (0.500, 0.500, 0.500).

=====

A relaxed structure of KTlSCl2, computed with PBE.

The calculation puts the energy above the lowest structure with this stoichiometry at 469 meV/atom. Its mass density is 2.89 g/cm³. The value obtained for the total energy is -13.0 eV per cell. The density of states at the Fermi level is 5.42 states/eV per cell. For the uncorrected formation energy, the calculation gives -334.2 meV/atom.

The structure belongs to space group P4/mmm (No. 123); the cell edges are 5.875, 5.875 and 5.773 Å and the angles 90.00°, 90.00° and 90.00°. The distinct sites, in fractional coordinates, are K at (0.000, 0.000, 0.000), Tl at (0.500, 0.500, 0.500), S at (0.000, 0.000, 0.500) and Cl at (0.000, 0.500, 0.000).

=====

A relaxed structure of Cs2Al3InF12, computed with PBE.

Its mass density is 3.94 g/cm³. The value obtained for the total energy is -288.6 eV per cell. The density of states at the Fermi level is 0.00 states/eV per cell. For the uncorrected formation energy, the calculation gives -3226.0 meV/atom.

The structure belongs to space group R-3m (No. 166, hexagonal axes); the cell edges are 7.1784, 7.1784 and 19.5257 Å and the angles 90.00°, 90.00° and 120.00°. The distinct sites, in fractional coordinates, are Cs at (0.0000, 0.0000, 0.1196), Al at (0.0000, 0.5000, 0.0000), In at (0.0000, 0.0000, 0.5000), F at (0.0291, 0.5146, 0.9094) and F at (0.0842, 0.5421, 0.3260).

=====

A relaxed structure of YIn2Pd4, computed with PBE.

Its mass density is 7.02 g/cm³. As for the formation energy: 0.20 eV/atom. The value obtained for the total energy is -62.7 eV per cell. The density of states at the Fermi level is 5.83 states/eV per cell.

The structure belongs to space group I4/mmm (No. 139); the cell edges are 5.093, 5.093 and 13.580 Å and the angles 90.00°, 90.00° and 90.00°. The distinct sites, in fractional coordinates, are Y at (0.000, 0.000, 0.000), In at (0.000, 0.000, 0.386), Pd at (0.000, 0.000, 0.192) and Pd at (0.000, 0.500, 0.000).

=====

A relaxed structure of LiVSi, computed with PBE.

Its mass density is 3.34 g/cm³. The value obtained for the total energy is -34.6 eV per cell. The density of states at the Fermi level is 2.70 states/eV per cell. For the uncorrected formation energy, the calculation gives -282.0 meV/atom.

The structure belongs to space group Pmmn (No. 59, origin choice 2); the cell edges are 3.084, 3.137 and 8.830 Å and the angles 90.00°, 90.00° and 90.00°. The distinct sites, in fractional coordinates, are Li at (0.250, 0.250, 0.103), V at (0.250, 0.250, 0.426) and Si at (0.250, 0.250, 0.722).

=====

| no. | calculated volume (A^3/atom) |
| --- | --- |
| 1 | 25.1 |
| 2 | 21.4 |
| 3 | 34.2 |
| 4 | 27.7 |
| 5 | 22.7 |
| 6 | 25.6 |
| 7 | 34.1 |
| 8 | 35.4 |
| 9 | 39.9 |
| 10 | 16.1 |
| 11 | 25.2 |
| 12 | 14.2 |